First-principles (GGA-PBE) data for HoScVZn after structural relaxation, as listed in the Alexandria database.

Unit cell a=4.8947 b=4.8947 c=4.8947 alpha=60.00 beta=60.00 gamma=60.00
Site moments in Bohr magnetons follow the coordinates.
Atoms (fractional coordinates):
1 Sc 0.0000 0.0000 0.0000  0.15
2 Zn 0.7500 0.7500 0.7500  -0.04
3 Ho 0.5000 0.5000 0.5000  0.22
4 V 0.2500 0.2500 0.2500  2.38

## Properties
- Space-group type: No. 216
- M_tot: 3.2 μB per cell
- V: 20.73 Å³ per atom
- Calculated density: 6533 kg/m³
- ΔE_f: 21 meV/atom
- Crystal system: cubic

=====

First-principles (GGA-PBE) data for YHo2Sc after structural relaxation, as listed in the Alexandria database.

Unit cell a=3.5000 b=6.0636 c=12.4030 alpha=114.06 beta=98.11 gamma=89.96
Atoms (fractional coordinates):
1 Y 0.5414 0.8972 0.5699
2 Y 0.0413 0.3972 0.5698
3 Ho 0.1735 0.9487 0.8321
4 Ho 0.9110 0.8470 0.3095
5 Ho 0.4111 0.3470 0.3095
6 Ho 0.6734 0.4486 0.8321
7 Sc 0.7940 0.9820 0.0721
8 Sc 0.2939 0.4821 0.0721

## Properties
- Space-group type: No. 8
- M_tot: 0.0 μB per cell
- V: 29.69 Å³ per atom
- Calculated density: 6485 kg/m³
- Distance to the lowest polymorph of the same formula: 0 meV per atom
- ΔE_f: 32 meV/atom
- Crystal system: monoclinic

=====

First-principles (GGA-PBE) data for Y2Ho5Sc2 after structural relaxation, as listed in the Alexandria database.

Unit cell a=11.2546 b=6.7502 c=9.7830 alpha=110.18 beta=125.11 gamma=90.00
Atoms (fractional coordinates):
1 Y 0.1172 0.6895 0.2578
2 Y 0.8828 0.4317 0.7422
3 Y 0.6406 0.1895 0.2578
4 Y 0.3594 0.9317 0.7422
5 Ho 0.2253 0.6583 0.8927
6 Ho 0.7747 0.7656 0.1073
7 Ho 0.1674 0.1583 0.8927
8 Ho 0.8326 0.2656 0.1073
9 Ho 0.3762 0.0325 0.2861
10 Ho 0.6238 0.7463 0.7139
11 Ho 0.4100 0.5325 0.2861
12 Ho 0.5900 0.2463 0.7139
13 Ho 0.9651 0.6533 0.5000
14 Ho 0.0349 0.1533 0.5000
15 Sc 0.0000 0.9712 0.0000
16 Sc 0.5000 0.4712 0.0000
17 Sc 0.2750 0.3875 0.5000
18 Sc 0.7250 0.8875 0.5000

## Properties
- Space-group type: No. 46
- M_tot: 0.0 μB per cell
- V: 30.63 Å³ per atom
- Calculated density: 6581 kg/m³
- Distance to the lowest polymorph of the same formula: 145 meV per atom
- ΔE_f: 248 meV/atom
- Crystal system: orthorhombic

=====

First-principles (GGA-PBE) data for YHo12Sc5 after structural relaxation, as listed in the Alexandria database.

Unit cell a=6.0202 b=6.0189 c=16.8351 alpha=93.41 beta=96.84 gamma=59.99
Atoms (fractional coordinates):
1 Y 0.0000 0.0000 0.0000
2 Ho 0.7797 0.0000 0.3389
3 Ho 0.2203 0.0000 0.6611
4 Ho 0.6086 0.0000 0.8335
5 Ho 0.3914 0.0000 0.1665
6 Ho 0.2810 0.6638 0.8335
7 Ho 0.0552 0.6638 0.1665
8 Ho 0.9449 0.3362 0.8335
9 Ho 0.7190 0.3362 0.1665
10 Ho 0.5538 0.3332 0.6611
11 Ho 0.8870 0.6668 0.6611
12 Ho 0.1130 0.3332 0.3389
13 Ho 0.4462 0.6668 0.3389
14 Sc 0.5000 0.0000 0.5000
15 Sc 0.1667 0.6666 0.5000
16 Sc 0.8333 0.3334 0.5000
17 Sc 0.6667 0.6666 0.0000
18 Sc 0.3333 0.3334 0.0000

## Properties
- Space-group type: No. 12
- M_tot: 0.0 μB per cell
- V: 29.14 Å³ per atom
- Calculated density: 7259 kg/m³
- ΔE_f: 34 meV/atom
- Crystal system: monoclinic

=====

First-principles (GGA-PBE) data for Y6HoSc2 after structural relaxation, as listed in the Alexandria database.

Unit cell a=5.9378 b=9.4309 c=9.9463 alpha=90.00 beta=86.17 gamma=90.00
Atoms (fractional coordinates):
1 Y 0.9143 0.9765 0.1705
2 Y 0.9320 0.6565 0.5659
3 Y 0.9875 0.6797 0.9128
4 Y 0.5125 0.1797 0.5872
5 Y 0.5680 0.1565 0.9341
6 Y 0.5857 0.4765 0.3295
7 Y 0.0857 0.0235 0.8295
8 Y 0.0680 0.3435 0.4341
9 Y 0.0125 0.3203 0.0872
10 Y 0.4875 0.8203 0.4128
11 Y 0.4320 0.8435 0.0659
12 Y 0.4143 0.5235 0.6705
13 Ho 0.5000 0.5000 0.0000
14 Ho 0.0000 0.0000 0.5000
15 Sc 0.9329 0.3552 0.7579
16 Sc 0.5671 0.8552 0.7421
17 Sc 0.4329 0.1448 0.2579
18 Sc 0.0671 0.6448 0.2421

## Properties
- Space-group type: No. 14
- M_tot: 0.0 μB per cell
- V: 30.87 Å³ per atom
- Calculated density: 4711 kg/m³
- Distance to the lowest polymorph of the same formula: 54 meV per atom
- ΔE_f: 134 meV/atom
- Crystal system: monoclinic

=====

First-principles (GGA-PBE) data for Y4HoSc3 after structural relaxation, as listed in the Alexandria database.

Unit cell a=6.8782 b=6.8863 c=7.7033 alpha=77.47 beta=131.94 gamma=119.61
Atoms (fractional coordinates):
1 Y 0.0000 0.5000 0.0000
2 Y 0.5000 0.0000 0.0000
3 Y 0.2532 0.2523 0.5055
4 Y 0.7468 0.7477 0.4945
5 Sc 0.5000 0.5000 0.0000
6 Sc 0.7526 0.2527 0.5000
7 Sc 0.2474 0.7473 0.4999
8 Ho 0.0000 0.0000 0.0000

## Properties
- Space-group type: No. 12
- M_tot: 0.0 μB per cell
- V: 29.04 Å³ per atom
- Calculated density: 4685 kg/m³
- Distance to the lowest polymorph of the same formula: 0 meV per atom
- ΔE_f: 64 meV/atom
- Crystal system: monoclinic